DFT (PBE+U) results for a relaxed NiSnIrO6 crystal.

Output
- final energy (eV/f.u.) = -53.6
- N(E_F) (states/eV/cell) = 9.401

```
data_NiSnIrO6
_space_group_name_H-M_alt 'P -3 1 c'
_space_group_IT_number 163
_space_group_name_Hall '-P 3 2c'
_cell_length_a 5.2588
_cell_length_b 5.2588
_cell_length_c 8.6954
_cell_angle_alpha 90.00
_cell_angle_beta 90.00
_cell_angle_gamma 120.00
loop_
_atom_site_label
_atom_site_type_symbol
_atom_site_fract_x
_atom_site_fract_y
_atom_site_fract_z
Ni1 Ni 0.0000 0.0000 0.0000
Sn1 Sn 0.3333 0.6667 0.2500
Ir1 Ir 0.3333 0.6667 0.7500
O1 O 0.0195 0.3570 0.6270
```